(1)
Material: Li3Ru5
Method: DFT, PBE-GGA
State: optimized geometry

* crystal system: hexagonal
* density of states at the Fermi level: 1.442 states/eV/atom
* formation energy: 486 meV/atom
* size of the total moment: 0.07 μB per atom

a b c (Å): 7.0327 7.0327 4.7362
angles (deg): 90.00 90.00 120.00
Atoms (fractional coordinates):
Ru 0.3333 0.6667 0.0000
Ru 0.7780 0.0000 0.7500
Ru 0.6667 0.3333 0.0000
Ru 0.2220 0.2220 0.7500
Ru 0.7780 0.7780 0.2500
Ru 0.2220 0.0000 0.2500
Ru 0.0000 0.7780 0.7500
Ru 0.6667 0.3333 0.5000
Ru 0.0000 0.2220 0.2500
Ru 0.3333 0.6667 0.5000
Li 0.4025 0.0000 0.7500
Li 0.5975 0.0000 0.2500
Li 0.0000 0.4025 0.7500
Li 0.0000 0.5975 0.2500
Li 0.5975 0.5975 0.7500
Li 0.4025 0.4025 0.2500



(2)
Material: Li3Ru
Method: DFT, PBE-GGA
State: optimized geometry

* crystal system: orthorhombic
* density of states at the Fermi level: 0.447 states/eV/atom
* formation energy: 138 meV/atom
* size of the total moment: 0.00 μB per atom

a b c (Å): 2.5134 4.5608 4.9462
angles (deg): 90.00 90.00 90.00
Atoms (fractional coordinates):
Li 0.0000 0.5000 0.2901
Li 0.5000 0.5000 0.8382
Li 0.5000 0.0000 0.5211
Ru 0.0000 0.0000 0.0173